1.
{"formula": "GaSi2W2", "functional": "PBE", "state": "relaxed", "lattice": [[6.654, 0.000, 0.000], [0.000, 6.654, 0.000], [0.000, 0.000, 3.332]], "species": ["Si", "W", "W", "W", "Si", "Ga", "Si", "Si", "Ga", "W"], "fractional_positions": [[0.131, 0.369, 0.000], [0.336, 0.164, 0.500], [0.164, 0.664, 0.500], [0.836, 0.336, 0.500], [0.631, 0.131, 0.000], [0.000, 0.000, 0.000], [0.869, 0.631, 0.000], [0.369, 0.869, 0.000], [0.500, 0.500, 0.000], [0.664, 0.836, 0.500]], "polymorph_energy_kj_per_mol_fu": 63, "e_form_raw_ev_per_atom": 0.174, "total_energy_ev_per_atom": -7.78}


2.
{"formula": "NaTl2PbAu2", "functional": "PBE", "state": "relaxed", "lattice": [[4.683, 0.000, 0.000], [0.000, 7.614, 0.000], [0.000, 0.000, 8.893]], "species": ["Tl", "Pb", "Tl", "Au", "Tl", "Na", "Na", "Au", "Au", "Au", "Tl", "Pb"], "fractional_positions": [[0.000, 0.345, 0.183], [0.500, 0.158, 0.685], [0.500, 0.031, 0.078], [0.000, 0.254, 0.861], [0.500, 0.531, 0.922], [0.000, 0.484, 0.573], [0.000, 0.984, 0.427], [0.500, 0.774, 0.623], [0.000, 0.754, 0.139], [0.500, 0.274, 0.377], [0.000, 0.845, 0.817], [0.500, 0.658, 0.315]], "total_energy_ev_per_atom": -2.86, "delta_e_f_ev_per_atom": -0.14}


3.
{"formula": "Y4Ho3Pu", "functional": "PBE", "state": "relaxed", "lattice": [[-1.011, 2.033, -2.566], [-8.772, -7.167, -2.222], [1.194, 5.837, 6.441]], "species": ["Y", "Ho", "Y", "Pu", "Y", "Ho", "Ho", "Y"], "fractional_positions": [[0.369, 0.620, 0.737], [0.000, 0.500, 0.000], [0.631, 0.883, 0.263], [0.500, 0.000, 0.000], [0.369, 0.117, 0.737], [0.238, 0.238, 0.475], [0.762, 0.762, 0.525], [0.631, 0.380, 0.263]], "total_energy_ev_per_atom": -6.58, "delta_e_f_ev_per_atom": 0.16}


4.
{"formula": "NdYPdRh", "functional": "PBE", "state": "relaxed", "lattice": [[-2.033, -2.663, 1.788], [3.453, -2.866, -0.342], [2.907, 3.048, 3.812]], "species": ["Rh", "Pd", "Y", "Nd"], "fractional_positions": [[0.410, 0.000, 0.820], [0.583, 0.500, 0.166], [0.864, 0.500, 0.728], [0.143, 0.000, 0.285]], "polymorph_energy_kj_per_mol_fu": 0, "total_energy_ev_per_atom": -6.74, "delta_e_f_ev_per_atom": -0.80}


5.
{"formula": "NdSmPtCl", "functional": "PBE", "state": "relaxed", "lattice": [[3.941, 0.002, 0.001], [-1.968, 3.415, 0.001], [-1.968, -1.136, 8.062]], "species": ["Cl", "Pt", "Nd", "Sm"], "fractional_positions": [[0.134, 0.965, 0.114], [0.469, 0.132, 0.617], [0.286, 0.541, 0.843], [0.989, 0.393, 0.396]], "e_form_raw_ev_per_atom": -1.246, "total_energy_ev_per_atom": -5.59}


6.
{"formula": "RbMnTe3", "functional": "PBE", "state": "relaxed", "lattice": [[-3.305, -4.452, 2.632], [4.388, -4.067, -1.368], [2.737, 1.145, 5.373]], "species": ["Te", "Te", "Rb", "Te", "Mn"], "fractional_positions": [[0.000, 0.500, 0.000], [0.000, 0.000, 0.500], [0.000, 0.000, 0.000], [0.500, 0.000, 0.000], [0.500, 0.500, 0.500]], "polymorph_energy_kj_per_mol_fu": 581, "e_form_raw_ev_per_atom": 1.243, "total_energy_ev_per_atom": -2.67}